# Tl4AuBr7

Crystalline Tl4AuBr7 at its relaxed geometry (GGA-PBE, the Alexandria database).

formation energy without anion corrections	-0.590	eV per atom
crystal system	monoclinic

Lattice parameters (Å, degrees): 16.872 5.532 11.047 90.00 118.59 90.00
Space group C2/m (No. 12)
Asymmetric unit:
Tl1 0.053 0.000 0.235 (multiplicity 4)
Tl2 0.220 0.000 0.809 (multiplicity 4)
Au1 0.000 0.500 0.500 (multiplicity 2)
Br1 0.000 0.000 0.500 (multiplicity 2)
Br2 0.063 0.500 0.753 (multiplicity 4)
Br3 0.156 0.000 0.050 (multiplicity 4)
Br4 0.243 0.500 0.489 (multiplicity 4)


# CdMoCl

Crystalline CdMoCl at its relaxed geometry (GGA-PBE, the Alexandria database).

formation energy without anion corrections	0.291	eV per atom
crystal system	tetragonal
energy above the most stable polymorph in this dataset	0.81	eV per formula unit

Lattice parameters (Å, degrees): 3.018 3.018 13.238 90.00 90.00 90.00
Space group I4mm (No. 107)
Asymmetric unit:
Cd1 0.000 0.000 0.000 (multiplicity 2)
Mo1 0.000 0.000 0.651 (multiplicity 2)
Cl1 0.000 0.000 0.264 (multiplicity 2)


# DyCu4Au4

Crystalline DyCu4Au4 at its relaxed geometry (GGA-PBE, the Alexandria database).

crystal system	tetragonal
formation energy	-0.89	eV per formula unit

Lattice parameters (Å, degrees): 8.166 8.166 4.724 90.00 90.00 90.00
Space group P4_2/n (No. 86, origin choice 2)
Asymmetric unit:
Dy1 0.250 0.250 0.250 (multiplicity 2)
Cu1 0.050 0.145 0.746 (multiplicity 8)
Au1 0.100 0.833 0.754 (multiplicity 8)


# Li2PrGa2

Crystalline Li2PrGa2 at its relaxed geometry (GGA-PBE, the Alexandria database).

crystal system	orthorhombic
energy above the most stable polymorph in this dataset	0.00	eV per formula unit
formation energy	-1.90	eV per formula unit

Lattice parameters (Å, degrees): 4.230 4.390 23.096 90.00 90.00 90.00
Space group Imma (No. 74)
Asymmetric unit:
Li1 0.000 0.250 0.045 (multiplicity 4)
Li2 0.000 0.250 0.546 (multiplicity 4)
Pr1 0.000 0.250 0.328 (multiplicity 4)
Ga1 0.000 0.250 0.779 (multiplicity 4)
Ga2 0.000 0.250 0.887 (multiplicity 4)


Table of mass density (Mg/m³), in record order: 5.77; 6.72; 12.70; 4.56
Table of energy (eV per cell), in record order: -63.08; -25.44; -69.97; -66.25